{"formula": "CeNi9Sn2", "functional": "PBE", "state": "relaxed", "cell": [[4.883, 0.000, 0.000], [0.000, 8.237, 0.000], [0.000, 0.000, 8.237]], "species": ["Ni", "Ni", "Sn", "Sn", "Ni", "Ni", "Ni", "Ni", "Ni", "Ni", "Sn", "Ni", "Ce", "Ni", "Ni", "Ni", "Sn", "Ni", "Ni", "Ni", "Ce", "Ni", "Ni", "Ni"], "frac_coords": [[0.500, 0.500, 0.000], [0.500, 0.934, 0.796], [0.000, 0.127, 0.373], [0.000, 0.627, 0.127], [0.754, 0.674, 0.826], [0.500, 0.066, 0.204], [0.754, 0.174, 0.674], [0.246, 0.174, 0.674], [0.500, 0.434, 0.704], [0.500, 0.296, 0.434], [0.000, 0.373, 0.873], [0.500, 0.704, 0.566], [0.000, 0.000, 0.000], [0.246, 0.826, 0.326], [0.754, 0.326, 0.174], [0.754, 0.826, 0.326], [0.000, 0.873, 0.627], [0.500, 0.566, 0.296], [0.500, 0.000, 0.500], [0.500, 0.204, 0.934], [0.000, 0.500, 0.500], [0.246, 0.326, 0.174], [0.500, 0.796, 0.066], [0.246, 0.674, 0.826]], "de_polymorph_mev_per_atom": 0, "energy_ev_per_atom": -5.75, "formation_energy_kcal_per_mol_atoms": -5.8}